(1)
First-principles (SCAN) data for OsW2Cl at its PBEsol-relaxed geometry, as listed in the Alexandria database.

Calculated values
spin magnetization = 0.00 μB/f.u.
formation energy (no corrections) = 0.6090 eV/atom
calculated total energy = -54.199 eV/atom
Fermi-level density of states = 1.72 states/eV/f.u.

Cell lengths 2.8508, 2.8508, 7.4813 Å; angles 90.00, 90.00, 90.00 degrees
Closest atoms and distances in Å follow each position.
Space group P4mm (No. 99)
Symmetry-distinct sites (fractional):
Os (0.0000, 0.0000, 0.0000)  4 W 2.62, 4 Os 2.85, 4 Cl 2.93
W (0.0000, 0.0000, 0.4979)  4 Cl 2.60, 8 W 2.85-2.87
W (0.5000, 0.5000, 0.2246)  4 Os 2.62, 8 W 2.85-2.87
Cl (0.5000, 0.5000, 0.7164)  4 W 2.60, 4 Cl 2.85


(2)
First-principles (SCAN) data for Y3OsCl at its PBEsol-relaxed geometry, as listed in the Alexandria database.

Calculated values
spin magnetization = 0.84 μB/f.u.
formation energy (no corrections) = 0.0166 eV/atom
calculated total energy = -32.661 eV/atom
Fermi-level density of states = 5.83 states/eV/f.u.

Cell lengths 4.9102, 4.9102, 4.9102 Å; angles 90.00, 90.00, 90.00 degrees
Closest atoms and distances in Å follow each position.
Space group Pm-3m (No. 221)
Symmetry-distinct sites (fractional):
Y (0.0000, 0.0000, 0.5000)  2 Cl 2.46
Os (0.5000, 0.5000, 0.5000)  12 Y 3.47
Cl (0.0000, 0.0000, 0.0000)  6 Y 2.46


(3)
First-principles (SCAN) data for ZnOsCl at its PBEsol-relaxed geometry, as listed in the Alexandria database.

Calculated values
spin magnetization = 0.00 μB/f.u.
formation energy (no corrections) = 0.8880 eV/atom
calculated total energy = -30.236 eV/atom
Fermi-level density of states = 2.74 states/eV/f.u.

Cell lengths 4.2485, 4.2485, 2.7953 Å; angles 90.00, 90.00, 120.00 degrees
Closest atoms and distances in Å follow each position.
Space group P-6m2 (No. 187)
Symmetry-distinct sites (fractional):
Zn (0.0000, 0.0000, 0.0000)  2 Zn 2.80, 6 Cl 2.82, 6 Os 2.82
Os (0.6667, 0.3333, 0.5000)  3 Cl 2.45
Cl (0.3333, 0.6667, 0.5000)  3 Os 2.45


(4)
First-principles (SCAN) data for Zn2OsCl at its PBEsol-relaxed geometry, as listed in the Alexandria database.

Calculated values
spin magnetization = 0.00 μB/f.u.
formation energy (no corrections) = 0.7543 eV/atom
calculated total energy = -25.968 eV/atom
Fermi-level density of states = 1.63 states/eV/f.u.

Cell lengths 3.6830, 3.6830, 8.4178 Å; angles 90.00, 90.00, 90.00 degrees
Closest atoms and distances in Å follow each position.
Space group I4/mmm (No. 139)
Symmetry-distinct sites (fractional):
Zn (0.0000, 0.5000, 0.2500)  4 Zn 2.60, 4 Cl 2.80, 4 Os 2.80
Os (0.0000, 0.0000, 0.0000)  4 Cl 2.60, 8 Zn 2.80
Cl (0.0000, 0.0000, 0.5000)  4 Os 2.60, 8 Zn 2.80